No. 1
FeOs3: optimized geometry, PBE.

The structure belongs to space group I4/mmm (No. 139); the cell edges are 3.7880, 3.7880 and 7.5281 Å and the angles 90.00°, 90.00° and 90.00°. The inequivalent atoms are Fe at (0.0000, 0.0000, 0.0000), Os at (0.0000, 0.0000, 0.5000) and Os at (0.0000, 0.5000, 0.2500).

The calculation puts the formation energy at 62 kJ/mol of formula units. The density is 19.26 Mg/m³. Its crystal system is tetragonal.

***

No. 2
TcAs2Br: optimized geometry, PBE.

The structure belongs to space group I-42d (No. 122); the cell edges are 6.3798, 6.3798 and 10.9217 Å and the angles 90.00°, 90.00° and 90.00°. The inequivalent atoms are Tc at (0.0000, 0.0000, 0.0000), As at (0.1610, 0.2500, 0.1250) and Br at (0.0000, 0.0000, 0.5000).

The energy above the most stable polymorph in this dataset comes out at 6.857 kcal/mol of atoms. As for the formation energy from raw total energies: 288 meV per atom. The density is 4.90 Mg/m³. Its crystal system is tetragonal.

***

No. 3
ZrMoAs2Se: optimized geometry, PBE.

The structure belongs to space group P4/mmm (No. 123); the cell edges are 4.8070, 4.8070 and 5.0240 Å and the angles 90.00°, 90.00° and 90.00°. The inequivalent atoms are Zr at (0.0000, 0.0000, 0.0000), Mo at (0.5000, 0.5000, 0.5000), As at (0.0000, 0.5000, 0.5000) and Se at (0.5000, 0.5000, 0.0000).

The energy above the most stable polymorph in this dataset comes out at 0.000 kcal/mol of atoms. As for the formation energy from raw total energies: 401 meV per atom. The density is 5.95 Mg/m³. Its crystal system is tetragonal.

***

No. 4
TlCo2H: optimized geometry, PBE.

The structure belongs to space group Fm-3m (No. 225); the cell edges are 5.9102, 5.9102 and 5.9102 Å and the angles 90.00°, 90.00° and 90.00°. The inequivalent atoms are Tl at (0.0000, 0.0000, 0.0000), Co at (0.2500, 0.2500, 0.2500) and H at (0.0000, 0.0000, 0.5000).

The energy above the most stable polymorph in this dataset comes out at 16.244 kcal/mol of atoms. The density is 10.40 Mg/m³. Its crystal system is cubic.

***

No. 5
CaTbCuIr: optimized geometry, PBE.

The structure belongs to space group Amm2 (No. 38); the cell edges are 4.1080, 3.9686 and 10.9312 Å and the angles 90.00°, 90.00° and 90.00°. The inequivalent atoms are Ca at (0.0000, 0.0000, 0.0000), Tb at (0.5000, 0.0000, 0.2830), Cu at (0.5000, 0.0000, 0.5771) and Ir at (0.0000, 0.0000, 0.7203).

The energy above the most stable polymorph in this dataset comes out at 0.000 kcal/mol of atoms. The calculation puts the formation energy at -170 kJ/mol of formula units. The density is 8.47 Mg/m³. Its crystal system is orthorhombic.

***

No. 6
CaMg6Ni: optimized geometry, PBE.

The structure belongs to space group Amm2 (No. 38); the cell edges are 4.8579, 6.2804 and 11.8639 Å and the angles 90.00°, 90.00° and 90.00°. The inequivalent atoms are Ca at (0.0000, 0.0000, 0.0000), Mg at (0.0000, 0.0000, 0.5405), Mg at (0.0000, 0.2445, 0.7740), Mg at (0.5000, 0.0000, 0.3793), Mg at (0.5000, 0.2430, 0.6368) and Ni at (0.5000, 0.0000, 0.8266).

The energy above the most stable polymorph in this dataset comes out at 0.000 kcal/mol of atoms. The calculation puts the formation energy at 34 kJ/mol of formula units. The density is 2.24 Mg/m³. Its crystal system is orthorhombic.

***

No. 7
SrMg2Tc: optimized geometry, PBE.

The structure belongs to space group Pm (No. 6); the cell edges are 3.0380, 4.7921 and 6.6974 Å and the angles 90.00°, 102.93° and 90.00°. The inequivalent atoms are Sr at (0.0000, 0.0000, 0.0000), Mg at (0.3061, 0.5000, 0.6257), Mg at (0.7103, 0.0000, 0.4584) and Tc at (0.6322, 0.5000, 0.2543).

The energy above the most stable polymorph in this dataset comes out at 2.909 kcal/mol of atoms. The calculation puts the formation energy at 188 kJ/mol of formula units. The density is 4.09 Mg/m³. Its crystal system is monoclinic.

***

No. 8
MgTcHRh2: optimized geometry, PBE.

The structure belongs to space group P4/mmm (No. 123); the cell edges are 4.0139, 4.0139 and 3.8793 Å and the angles 90.00°, 90.00° and 90.00°. The inequivalent atoms are Mg at (0.0000, 0.0000, 0.0000), Tc at (0.5000, 0.5000, 0.0000), H at (0.5000, 0.5000, 0.5000) and Rh at (0.0000, 0.5000, 0.5000).

The density is 8.74 Mg/m³. Its crystal system is tetragonal. The value obtained for the total DFT energy (no corrections) is -30.177 eV/f.u.

***

No. 9
BaFeSb3: optimized geometry, PBE.

The structure belongs to space group Pm-3m (No. 221); the cell edges are 6.1972, 6.1972 and 6.1972 Å and the angles 90.00°, 90.00° and 90.00°. The inequivalent atoms are Ba at (0.0000, 0.0000, 0.0000), Fe at (0.5000, 0.5000, 0.5000) and Sb at (0.0000, 0.0000, 0.5000).

The energy above the most stable polymorph in this dataset comes out at 37.319 kcal/mol of atoms. As for the formation energy from raw total energies: 1555 meV per atom. The density is 3.90 Mg/m³. Its crystal system is cubic.

***

No. 10
BeZnAg2: optimized geometry, PBE.

The structure belongs to space group R3m (No. 160, hexagonal axes); the cell edges are 3.4756, 3.4756 and 18.6261 Å and the angles 90.00°, 90.00° and 120.00°. The inequivalent atoms are Be at (0.0000, 0.0000, 0.0000), Zn at (0.0000, 0.0000, 0.8345), Ag at (0.0000, 0.0000, 0.4034) and Ag at (0.0000, 0.0000, 0.5981).

The energy above the most stable polymorph in this dataset comes out at 5.521 kcal/mol of atoms. The calculation puts the formation energy at 120 kJ/mol of formula units. The density is 7.42 Mg/m³. Its crystal system is trigonal.

***

No. 11
Pr12SmIn6: optimized geometry, PBE.

The structure belongs to space group R-3 (No. 148, hexagonal axes); the cell edges are 11.8784, 11.8784 and 14.8438 Å and the angles 90.00°, 90.00° and 120.00°. The inequivalent atoms are Pr at (0.0625, 0.2192, 0.4102), Pr at (0.0686, 0.8783, 0.8061), Sm at (0.0000, 0.0000, 0.0000) and In at (0.0306, 0.5911, 0.7119).

The calculation puts the formation energy at -438 kJ/mol of formula units. The density is 6.95 Mg/m³. Its crystal system is trigonal.

***

No. 12
ZrVFe3: optimized geometry, PBE.

The structure belongs to space group Pm-3m (No. 221); the cell edges are 4.2066, 4.2066 and 4.2066 Å and the angles 90.00°, 90.00° and 90.00°. The inequivalent atoms are Zr at (0.0000, 0.0000, 0.0000), V at (0.5000, 0.5000, 0.5000) and Fe at (0.0000, 0.5000, 0.5000).

The energy above the most stable polymorph in this dataset comes out at 0.000 kcal/mol of atoms. The calculation puts the formation energy at 279 kJ/mol of formula units. The density is 6.91 Mg/m³. Its crystal system is cubic.